Record 1
# Dy2Ho4TmTh, relaxed, DFT PBE
# spin magnetization = 0.00 Bohr magnetons per cell
# formation energy = 0.0318 eV per atom
data_Dy2Ho4TmTh
_cell_length_a 4.995
_cell_length_b 5.009
_cell_length_c 9.967
_cell_angle_alpha 90.00
_cell_angle_beta 90.00
_cell_angle_gamma 90.00
_symmetry_space_group_name_H-M 'P m m m'
_symmetry_Int_Tables_number 47
loop_
_symmetry_equiv_pos_as_xyz
'x,y,z'
'-x,-y,-z'
'-x,-y,z'
'x,y,-z'
'x,-y,-z'
'-x,y,z'
'-x,y,-z'
'x,-y,z'
loop_
_atom_site_label
_atom_site_type_symbol
_atom_site_fract_x
_atom_site_fract_y
_atom_site_fract_z
Dy1 Dy 0.000 0.000 0.000
Dy2 Dy 0.500 0.500 0.500
Ho1 Ho 0.000 0.500 0.249
Ho2 Ho 0.500 0.000 0.249
Tm1 Tm 0.000 0.000 0.500
Th1 Th 0.500 0.500 0.000



Record 2
# Sr2LaSb3Pt4, relaxed, DFT PBE
# spin magnetization = 0.00 Bohr magnetons per cell
# formation energy (no corrections) = -0.874 eV per atom
data_Sr2LaSb3Pt4
_cell_length_a 4.700
_cell_length_b 4.700
_cell_length_c 11.414
_cell_angle_alpha 90.00
_cell_angle_beta 90.00
_cell_angle_gamma 90.00
_symmetry_space_group_name_H-M 'P -4 m 2'
_symmetry_Int_Tables_number 115
loop_
_symmetry_equiv_pos_as_xyz
'x,y,z'
'y,-x,-z'
'-x,-y,z'
'-y,x,-z'
'-x,y,z'
'-y,-x,-z'
'x,-y,z'
'y,x,-z'
loop_
_atom_site_label
_atom_site_type_symbol
_atom_site_fract_x
_atom_site_fract_y
_atom_site_fract_z
Sr1 Sr 0.000 0.500 0.218
La1 La 0.000 0.000 0.500
Sb1 Sb 0.000 0.500 0.880
Sb2 Sb 0.500 0.500 0.500
Pt1 Pt 0.000 0.000 0.000
Pt2 Pt 0.000 0.500 0.650
Pt3 Pt 0.500 0.500 0.000



Record 3
# Sc4Sb2H, relaxed, DFT PBE
# spin magnetization = 0.00 Bohr magnetons per cell
# energy relative to the lowest polymorph listed for this composition = 25 meV/atom
data_Sc4Sb2H
_cell_length_a 5.825
_cell_length_b 5.989
_cell_length_c 8.493
_cell_angle_alpha 90.00
_cell_angle_beta 108.58
_cell_angle_gamma 90.00
_symmetry_space_group_name_H-M 'P 1 21/m 1'
_symmetry_Int_Tables_number 11
loop_
_symmetry_equiv_pos_as_xyz
'x,y,z'
'-x,-y,-z'
'-x,y+1/2,-z'
'x,-y+1/2,z'
loop_
_atom_site_label
_atom_site_type_symbol
_atom_site_fract_x
_atom_site_fract_y
_atom_site_fract_z
Sc1 Sc 0.043 0.001 0.305
Sc2 Sc 0.353 0.750 0.051
Sc3 Sc 0.429 0.750 0.664
Sb1 Sb 0.190 0.250 0.023
Sb2 Sb 0.357 0.250 0.604
H1 H 0.197 0.750 0.795



Record 4
# Cs5Rb4Ag, relaxed, DFT PBE
# spin magnetization = 0.00 Bohr magnetons per cell
# formation energy = 0.0133 eV per atom
data_Cs5Rb4Ag
_cell_length_a 15.651
_cell_length_b 15.651
_cell_length_c 7.580
_cell_angle_alpha 90.00
_cell_angle_beta 90.00
_cell_angle_gamma 90.00
_symmetry_space_group_name_H-M 'I 4/m m m'
_symmetry_Int_Tables_number 139
_symmetry_space_group_name_Hall '-I 4 2'
loop_
_atom_site_label
_atom_site_type_symbol
_atom_site_fract_x
_atom_site_fract_y
_atom_site_fract_z
Cs1 Cs 0.000 0.000 0.000
Cs2 Cs 0.168 0.168 0.500
Rb1 Rb 0.000 0.342 0.000
Ag1 Ag 0.000 0.000 0.500



Record 5
# NaTl6I8, relaxed, DFT PBE
# spin magnetization = 0.00 Bohr magnetons per cell
# formation energy (no corrections) = -0.612 eV per atom
data_NaTl6I8
_cell_length_a 11.7599
_cell_length_b 11.7599
_cell_length_c 5.2819
_cell_angle_alpha 90.00
_cell_angle_beta 90.00
_cell_angle_gamma 120.00
_symmetry_space_group_name_H-M 'P -3'
_symmetry_Int_Tables_number 147
loop_
_symmetry_equiv_pos_as_xyz
'x,y,z'
'-x,-y,-z'
'-y,x-y,z'
'y,-x+y,-z'
'-x+y,-x,z'
'x-y,x,-z'
loop_
_atom_site_label
_atom_site_type_symbol
_atom_site_fract_x
_atom_site_fract_y
_atom_site_fract_z
Na1 Na 0.0000 0.0000 0.0000
Tl1 Tl 0.1190 0.4655 0.7487
I1 I 0.0256 0.7363 0.7547
I2 I 0.3333 0.6667 0.2449



Record 6
# KRb2CdSn, relaxed, DFT PBE
# spin magnetization = 1.65 Bohr magnetons per cell
# energy relative to the lowest polymorph listed for this composition = 487 meV/atom
# formation energy = 0.5288 eV per atom
data_KRb2CdSn
_cell_length_a 7.148
_cell_length_b 7.148
_cell_length_c 6.149
_cell_angle_alpha 90.00
_cell_angle_beta 90.00
_cell_angle_gamma 90.00
_symmetry_space_group_name_H-M 'P 4/m m m'
_symmetry_Int_Tables_number 123
_symmetry_space_group_name_Hall '-P 4 2'
loop_
_atom_site_label
_atom_site_type_symbol
_atom_site_fract_x
_atom_site_fract_y
_atom_site_fract_z
K1 K 0.000 0.000 0.000
Rb1 Rb 0.000 0.500 0.000
Cd1 Cd 0.000 0.000 0.500
Sn1 Sn 0.500 0.500 0.500



Record 7
# CsLa3Ir, relaxed, DFT PBE
# spin magnetization = 0.00 Bohr magnetons per cell
# energy relative to the lowest polymorph listed for this composition = 0 meV/atom
# formation energy = -0.1162 eV per atom
data_CsLa3Ir
_cell_length_a 5.851
_cell_length_b 5.851
_cell_length_c 5.851
_cell_angle_alpha 90.00
_cell_angle_beta 90.00
_cell_angle_gamma 90.00
_symmetry_space_group_name_H-M 'P m -3 m'
_symmetry_Int_Tables_number 221
_symmetry_space_group_name_Hall '-P 4 2 3'
loop_
_atom_site_label
_atom_site_type_symbol
_atom_site_fract_x
_atom_site_fract_y
_atom_site_fract_z
Cs1 Cs 0.000 0.000 0.000
La1 La 0.000 0.500 0.500
Ir1 Ir 0.500 0.500 0.500



Record 8
# Cs2AlPtI6, relaxed, DFT PBE
# spin magnetization = 0.00 Bohr magnetons per cell
# formation energy (no corrections) = -0.744 eV per atom
data_Cs2AlPtI6
_cell_length_a 8.155
_cell_length_b 8.155
_cell_length_c 11.757
_cell_angle_alpha 90.00
_cell_angle_beta 90.00
_cell_angle_gamma 90.00
_symmetry_space_group_name_H-M 'I 4/m m m'
_symmetry_Int_Tables_number 139
_symmetry_space_group_name_Hall '-I 4 2'
loop_
_atom_site_label
_atom_site_type_symbol
_atom_site_fract_x
_atom_site_fract_y
_atom_site_fract_z
Cs1 Cs 0.000 0.500 0.250
Al1 Al 0.000 0.000 0.000
Pt1 Pt 0.000 0.000 0.500
I1 I 0.000 0.000 0.235
I2 I 0.239 0.239 0.500